A plane-wave DFT calculation with PBE was carried out for NbNiRh3 after structural relaxation.

Computed properties:
SG ... P6_3/mmc (194)
Formation enthalpy at 0 K ... 3.15 kcal/mol of atoms
DFT total energy ... -37.222 eV per formula unit
DOS(E_F) ... 1.272 states/eV per atom
Polymorph energy (0 for the lowest one) ... 0.000 eV per atom

Unit cell a=6.355 b=6.355 c=4.412 alpha=90.00 beta=90.00 gamma=120.00
Sites, in units of the cell vectors:
1 Nb 0.333 0.667 0.250
2 Nb 0.667 0.333 0.750
3 Ni 0.000 0.000 0.000
4 Ni 0.000 0.000 0.500
5 Rh 0.195 0.391 0.750
6 Rh 0.195 0.805 0.750
7 Rh 0.391 0.195 0.250
8 Rh 0.609 0.805 0.750
9 Rh 0.805 0.195 0.250
10 Rh 0.805 0.609 0.250